(1)
! LiPm2HoHg4 (PBE, optimized geometry); values from VASP
! Size of the total moment in μB per atom: 0.0000
! Uncorrected energy in Ha/atom: -0.096
! Energy relative to the elements in eV/atom: -0.46
&SYSTEM
  ibrav = 0, nat = 8, ntyp = 4
/
ATOMIC_SPECIES
Li 6.94 Li.upf
Pm 145.00 Pm.upf
Ho 164.93 Ho.upf
Hg 200.59 Hg.upf
CELL_PARAMETERS angstrom
2.612 1.508 8.616
-2.612 1.508 8.616
0.000 -3.017 8.616
ATOMIC_POSITIONS crystal
Li 0.000 0.000 0.000
Pm 0.254 0.254 0.254
Pm 0.746 0.746 0.746
Ho 0.500 0.500 0.500
Hg 0.126 0.126 0.126
Hg 0.375 0.375 0.375
Hg 0.625 0.625 0.625
Hg 0.874 0.874 0.874

(2)
! PuTh2PaBi4 (PBE, optimized geometry); values from VASP
! Size of the total moment in μB per atom: 0.8553
! Uncorrected energy in Ha/atom: -0.264
! Energy relative to the elements in eV/atom: -0.40
&SYSTEM
  ibrav = 0, nat = 8, ntyp = 4
/
ATOMIC_SPECIES
Pu 244.00 Pu.upf
Th 232.04 Th.upf
Pa 231.04 Pa.upf
Bi 208.98 Bi.upf
CELL_PARAMETERS angstrom
7.872 0.000 0.000
0.000 4.544 0.000
-2.620 0.000 7.491
ATOMIC_POSITIONS crystal
Pu 0.000 0.000 0.000
Th 0.000 0.500 0.500
Th 0.500 0.000 0.500
Pa 0.500 0.500 0.000
Bi 0.250 0.500 0.244
Bi 0.254 0.000 0.757
Bi 0.746 0.000 0.243
Bi 0.750 0.500 0.756

(3)
! Co3NiRu (PBE, optimized geometry); values from VASP
! Size of the total moment in μB per atom: 1.0601
! Relative energy among the computed polymorphs in kJ/mol of formula units: 211
! Uncorrected energy in Ha/atom: -0.205
! Energy relative to the elements in eV/atom: 1.71
&SYSTEM
  ibrav = 0, nat = 5, ntyp = 3
/
ATOMIC_SPECIES
Co 58.93 Co.upf
Ni 58.69 Ni.upf
Ru 101.07 Ru.upf
CELL_PARAMETERS angstrom
4.402 0.000 0.000
0.000 4.402 0.000
0.000 0.000 4.402
ATOMIC_POSITIONS crystal
Co 0.000 0.000 0.500
Co 0.000 0.500 0.000
Co 0.500 0.000 0.000
Ni 0.500 0.500 0.500
Ru 0.000 0.000 0.000

Look up the energy relative to the elements of the second one. -0.40 eV/atom

Which value of size of the total moment does entry 1 give? 0.0000 μB per atom

Look up the energy relative to the elements of the first one. -0.46 eV/atom

The highest size of the total moment belongs to which entry? Co3NiRu